(1)
A plane-wave DFT calculation with PBE was carried out for PmBr2Cl after structural relaxation.

Cell and atoms, written as POSCAR:
```
PmBr2Cl
1.0
4.0375 0.0020 0.0000
-2.0111 7.1606 0.0000
0.0000 0.0000 9.1666
Br Pm Cl
4 2 2
Cartesian
2.0218 4.9624 5.1808
0.0045 2.2002 0.5975
2.0218 4.9624 8.5692
0.0045 2.2002 3.9859
0.0038 3.4689 6.8750
2.0226 3.6937 2.2917
0.0029 5.5384 2.2917
2.0235 1.6242 6.8750
```

Computed properties:
* energy above the lowest structure with this stoichiometry: 0.000 eV/atom
* raw formation energy: -194.4 kJ/mol of atoms
* DOS at the Fermi energy: 0.0000 states/eV per atom
* volume: 132.5 Å³/f.u.

(2)
A plane-wave DFT calculation with PBE was carried out for CoAg2Sb after structural relaxation.

Cell and atoms, written as POSCAR:
```
CoAg2Sb
1.0
-1.6573 2.6668 0.4274
-1.9373 -1.5201 1.9732
2.2926 0.2261 7.4798
Ag Co Sb
2 1 1
Cartesian
-1.8430 -1.4818 2.0995
-0.6433 1.0495 2.7040
0.2111 -0.6329 4.7680
-0.7864 0.2707 7.0086
```

Computed properties:
* raw formation energy: 19.0 kJ/mol of atoms
* DOS at the Fermi energy: 0.4238 states/eV per atom
* volume: 71.6 Å³/f.u.

(3)
A plane-wave DFT calculation with PBE was carried out for Ce8NiRh5 after structural relaxation.

Cell and atoms, written as POSCAR:
```
Ce8NiRh5
1.0
-1.3566 7.2110 -1.5803
-5.5933 -4.2352 -2.6673
0.4816 -0.8954 7.4366
Rh Ni Ce
5 1 8
Cartesian
-5.9698 2.3807 -1.8546
-0.7179 1.2836 6.5123
-0.4375 3.1578 2.9282
-2.0386 -1.6968 -0.0796
-4.2103 2.1933 1.7998
-2.7746 -0.9864 3.8487
-4.1201 0.7480 -0.5751
-4.1283 -2.7035 1.4515
-5.2500 0.0522 3.2240
-2.4641 2.1686 4.5394
-0.4176 -1.1711 5.2653
-2.2241 3.9478 0.9621
-3.8738 -3.1510 5.1536
-1.5571 0.3243 1.7520
```

Computed properties:
* formation enthalpy at 0 K: -0.59 eV per atom
* DOS at the Fermi energy: 2.4618 states/eV per atom
* volume: 325.5 Å³/f.u.

no.,total magnetization (μB/f.u.),density (kg/m³)
1,0.00,4263
2,0.60,9195
3,3.76,8642